Entry 1:
Density functional theory data (PBE-GGA) for a geometry-optimized AsCBr2 structure.

It has space group R-3m (No. 166, hexagonal axes), with a = 3.2871 Å, b = 3.2871 Å, c = 27.4298 Å, α = 90.00°, β = 90.00° and γ = 120.00°. The asymmetric unit holds As at (0.0000, 0.0000, 0.0000), C at (0.0000, 0.0000, 0.5000) and Br at (0.0000, 0.0000, 0.4349).

Its crystal system is trigonal. Its density of states at the Fermi level is 2.79 states/eV/f.u. Its energy above the most stable polymorph in this dataset is 0.012 eV per atom. The formation energy (no corrections) comes out at 1.54 eV/atom. The density comes out at 4.8 g cm⁻³. The total energy is -11.0 eV per formula unit.



Entry 2:
Density functional theory data (PBE-GGA) for a geometry-optimized PmEuPH structure.

It has space group F-43m (No. 216), with a = 6.874 Å, b = 6.874 Å, c = 6.874 Å, α = 90.00°, β = 90.00° and γ = 90.00°. The asymmetric unit holds Pm at (0.000, 0.000, 0.000), Eu at (0.000, 0.000, 0.500), P at (0.250, 0.250, 0.250) and H at (0.250, 0.250, 0.750).

Its crystal system is cubic. Its density of states at the Fermi level is 1.79 states/eV/f.u. The density comes out at 6.7 g cm⁻³. The total energy is -26.6 eV per formula unit.



Entry 3:
Density functional theory data (PBE-GGA) for a geometry-optimized LaCeCoOs structure.

It has space group F-43m (No. 216), with a = 6.983 Å, b = 6.983 Å, c = 6.983 Å, α = 90.00°, β = 90.00° and γ = 90.00°. The asymmetric unit holds La at (0.000, 0.000, 0.000), Ce at (0.000, 0.000, 0.500), Co at (0.250, 0.250, 0.750) and Os at (0.250, 0.250, 0.250).

Its crystal system is cubic. Its density of states at the Fermi level is 2.42 states/eV/f.u. As for the formation energy from the elements: 3 meV per atom. The density comes out at 10.3 g cm⁻³. The total energy is -29.2 eV per formula unit.